Density functional theory data (GGA-PBEsol) for a geometry-optimized KNi3B structure.

Unit cell a=4.289 b=4.289 c=4.289 alpha=90.00 beta=90.00 gamma=90.00
Atoms (fractional coordinates):
B1 0.500 0.500 0.500
K1 0.000 0.000 0.000
Ni1 0.000 0.000 0.500
Ni2 0.500 0.000 0.000
Ni3 0.000 0.500 0.000

Computed properties:
- space group = Pm-3m (221)
- crystal system = cubic
- DFT formation energy (eV per atom) = 2.861
- VASP energy (eV/atom) = -2.4635